Entry 1:
DFT (PBE) results for a geometry-optimized Rb2MoSeS2 structure.

Structure (POSCAR):
```
Rb2MoSeS2
1.0
7.050 0.000 0.000
3.012 7.062 0.000
3.107 1.226 8.095
Rb Mo Se S
4 2 2 4
Direct
0.093 0.184 0.140
0.349 0.559 0.296
0.651 0.441 0.704
0.907 0.816 0.860
0.383 0.049 0.662
0.617 0.951 0.338
0.172 0.369 0.721
0.828 0.631 0.279
0.274 0.960 0.486
0.379 0.837 0.897
0.621 0.163 0.103
0.726 0.040 0.514
```

**Calculated total energy**: -60.17 eV for the cell shown
**Total magnetization**: 0.00 μB/f.u.
**Space-group type**: P-1, No. 2


Entry 2:
DFT (PBE) results for a geometry-optimized RbMoSeS2 structure.

Structure (POSCAR):
```
RbMoSeS2
1.0
5.743 0.000 0.000
-2.258 7.357 0.000
-1.701 -3.233 6.843
Rb Mo Se S
2 2 2 4
Direct
0.219 0.342 0.149
0.781 0.658 0.851
0.224 0.942 0.507
0.776 0.058 0.493
0.205 0.653 0.595
0.795 0.347 0.405
0.230 0.245 0.690
0.343 0.957 0.251
0.657 0.043 0.749
0.770 0.755 0.310
```

**Calculated total energy**: -55.19 eV for the cell shown
**Total magnetization**: 0.00 μB/f.u.
**Space-group type**: P-1, No. 2


Entry 3:
DFT (PBE) results for a geometry-optimized Rb2Te2MoS structure.

Structure (POSCAR):
```
Rb2Te2MoS
1.0
7.433 0.000 0.000
2.979 7.561 0.000
3.074 1.080 8.616
Rb Te Mo S
4 4 2 2
Direct
0.107 0.184 0.143
0.332 0.582 0.315
0.668 0.418 0.685
0.893 0.816 0.857
0.174 0.365 0.722
0.375 0.812 0.898
0.625 0.188 0.102
0.826 0.635 0.278
0.388 0.044 0.651
0.612 0.956 0.349
0.287 0.967 0.475
0.713 0.033 0.525
```

**Calculated total energy**: -54.87 eV for the cell shown
**Total magnetization**: 0.00 μB/f.u.
**Space-group type**: P-1, No. 2


Entry 4:
DFT (PBE) results for a geometry-optimized RbSbMo structure.

Structure (POSCAR):
```
RbSbMo
1.0
7.617 0.000 0.000
0.000 7.617 0.000
0.000 0.000 7.617
Rb Sb Mo
4 4 4
Direct
0.000 0.000 0.000
0.000 0.500 0.500
0.500 0.000 0.500
0.500 0.500 0.000
0.250 0.250 0.250
0.250 0.750 0.750
0.750 0.250 0.750
0.750 0.750 0.250
0.250 0.250 0.750
0.250 0.750 0.250
0.750 0.250 0.250
0.750 0.750 0.750
```

**Calculated total energy**: -42.72 eV for the cell shown
**Total magnetization**: 4.00 μB/f.u.
**Space-group type**: F-43m, No. 216